(1)
# PBE ThMg5Sc4, relaxed
data_ThMg5Sc4
_cell_length_a 3.567
_cell_length_b 3.567
_cell_length_c 19.038
_cell_angle_alpha 90.00
_cell_angle_beta 90.00
_cell_angle_gamma 90.00
_space_group_name_H-M_alt 'P 4/m m m'
_space_group_IT_number 123
_space_group_name_Hall '-P 4 2'
loop_
_atom_site_label
_atom_site_type_symbol
_atom_site_fract_x
_atom_site_fract_y
_atom_site_fract_z
Th1 Th 0.000 0.000 0.000
Mg1 Mg 0.500 0.500 0.119
Mg2 Mg 0.500 0.500 0.309
Mg3 Mg 0.500 0.500 0.500
Sc1 Sc 0.000 0.000 0.215
Sc2 Sc 0.000 0.000 0.404
# DFT formation energy: -0.015 eV per atom

=====

(2)
# PBE Th2MgSc, relaxed
data_Th2MgSc
_cell_length_a 3.3960
_cell_length_b 3.3960
_cell_length_c 34.6448
_cell_angle_alpha 90.00
_cell_angle_beta 90.00
_cell_angle_gamma 120.00
_space_group_name_H-M_alt 'R 3 m'
_space_group_IT_number 160
_space_group_name_Hall 'R 3 -2"'
loop_
_atom_site_label
_atom_site_type_symbol
_atom_site_fract_x
_atom_site_fract_y
_atom_site_fract_z
Th1 Th 0.0000 0.0000 0.0000
Th2 Th 0.0000 0.0000 0.1694
Mg1 Mg 0.0000 0.0000 0.7512
Sc1 Sc 0.0000 0.0000 0.5849
# Energy relative to the lowest polymorph listed for this composition: 0.067 eV/atom
# DFT formation energy: 0.105 eV per atom

=====

(3)
# PBE ThMg2Sc, relaxed
data_ThMg2Sc
_cell_length_a 3.3237
_cell_length_b 3.3237
_cell_length_c 33.3477
_cell_angle_alpha 90.00
_cell_angle_beta 90.00
_cell_angle_gamma 120.00
_space_group_name_H-M_alt 'R 3 m'
_space_group_IT_number 160
_space_group_name_Hall 'R 3 -2"'
loop_
_atom_site_label
_atom_site_type_symbol
_atom_site_fract_x
_atom_site_fract_y
_atom_site_fract_z
Th1 Th 0.0000 0.0000 0.0000
Mg1 Mg 0.0000 0.0000 0.5790
Mg2 Mg 0.0000 0.0000 0.7558
Sc1 Sc 0.0000 0.0000 0.1678
# DFT formation energy: 0.077 eV per atom

=====

(4)
# PBE Th3MgSc12, relaxed
data_Th3MgSc12
_cell_length_a 4.720
_cell_length_b 4.720
_cell_length_c 18.537
_cell_angle_alpha 90.00
_cell_angle_beta 90.00
_cell_angle_gamma 90.00
_space_group_name_H-M_alt 'P 4/m m m'
_space_group_IT_number 123
_space_group_name_Hall '-P 4 2'
loop_
_atom_site_label
_atom_site_type_symbol
_atom_site_fract_x
_atom_site_fract_y
_atom_site_fract_z
Th1 Th 0.000 0.000 0.000
Th2 Th 0.000 0.000 0.253
Mg1 Mg 0.000 0.000 0.500
Sc1 Sc 0.000 0.500 0.127
Sc2 Sc 0.000 0.500 0.379
Sc3 Sc 0.500 0.500 0.000
Sc4 Sc 0.500 0.500 0.257
Sc5 Sc 0.500 0.500 0.500
# DFT formation energy: 0.037 eV per atom

=====

(5)
# PBE Th2MgSc2, relaxed
data_Th2MgSc2
_cell_length_a 5.3788
_cell_length_b 5.3788
_cell_length_c 16.5960
_cell_angle_alpha 90.00
_cell_angle_beta 90.00
_cell_angle_gamma 120.00
_space_group_name_H-M_alt 'R -3 m'
_space_group_IT_number 166
_space_group_name_Hall '-R 3 2"'
loop_
_atom_site_label
_atom_site_type_symbol
_atom_site_fract_x
_atom_site_fract_y
_atom_site_fract_z
Th1 Th 0.0000 0.0000 0.1024
Mg1 Mg 0.0000 0.0000 0.5000
Sc1 Sc 0.0000 0.0000 0.3157
# DFT formation energy: 0.054 eV per atom

=====

(6)
# PBE ThMgSc, relaxed
data_ThMgSc
_cell_length_a 3.3948
_cell_length_b 3.3948
_cell_length_c 8.2605
_cell_angle_alpha 90.00
_cell_angle_beta 90.00
_cell_angle_gamma 120.00
_space_group_name_H-M_alt 'P 3 m 1'
_space_group_IT_number 156
loop_
_space_group_symop_operation_xyz
'x,y,z'
'-y,x-y,z'
'-x+y,-x,z'
'-y,-x,z'
'-x+y,y,z'
'x,x-y,z'
loop_
_atom_site_label
_atom_site_type_symbol
_atom_site_fract_x
_atom_site_fract_y
_atom_site_fract_z
Th1 Th 0.0000 0.0000 0.0000
Mg1 Mg 0.6667 0.3333 0.3509
Sc1 Sc 0.3333 0.6667 0.6657
# Energy relative to the lowest polymorph listed for this composition: 0.096 eV/atom
# DFT formation energy: 0.084 eV per atom